Entry 1:
The following is a DFT calculation (SCAN) of a PBEsol-optimized structure of Sr2NbSe2.

extended XYZ file:
```
5
Lattice="6.113 0.000 0.000 -3.056 5.347 0.037 0.000 3.459 5.040" Properties=species:S:1:pos:R:3 pbc="T T T"
Sr 0.000 3.538 1.278
Sr 3.056 5.268 3.798
Se 3.056 3.269 1.463
Se 0.000 5.537 3.613
Nb 0.000 0.000 0.000
```

Results
SG: No. 139
Total moment: 3.0 μB/cell
N(E_F): 0.72 states/eV per atom
Energy relative to the elements, uncorrected: -0.78 eV per atom

=====

Entry 2:
The following is a DFT calculation (SCAN) of a PBEsol-optimized structure of SrNbSe3.

extended XYZ file:
```
5
Lattice="5.044 0.000 0.000 0.000 5.044 0.000 0.000 0.000 5.044" Properties=species:S:1:pos:R:3 pbc="T T T"
Se 0.000 2.522 0.000
Se 0.000 0.000 2.522
Se 2.522 0.000 0.000
Sr 2.522 2.522 2.522
Nb 0.000 0.000 0.000
```

Results
SG: No. 221
Total moment: 0.0 μB/cell
N(E_F): 0.22 states/eV per atom
Energy relative to the elements, uncorrected: -1.18 eV per atom